{"formula": "ZnTc", "functional": "PBE", "state": "optimized geometry", "formation_energy_ev_per_atom": 0.28, "n_ef_per_ev_fu": 2.52, "dft_energy_ha_per_atom": -0.2034, "spacegroup": "P4/mmm", "crystal_system": "tetragonal", "magmom_total_mub_per_fu": 0.006, "lattice_angstrom": [[3.305, 0.000, 0.000], [0.000, 3.305, 0.000], [0.000, 0.000, 2.623]], "species": ["Zn", "Tc"], "fractional_positions": [[0.000, 0.000, 0.000], [0.500, 0.500, 0.500]]}